Below is a geometry-optimized Hg3P4 structure, with properties calculated at the PBE-GGA level.

Cell and atoms, written as POSCAR:
```
Hg3P4
1.0
6.8049 0.0000 0.0000
-3.4024 5.8932 0.0000
0.0000 0.0000 4.0844
Hg P
3 4
direct
0.0000 0.5000 0.0000
0.5000 0.0000 0.0000
0.5000 0.5000 0.0000
0.0000 0.0000 0.2520
0.0000 0.0000 0.7480
0.3333 0.6667 0.5000
0.6667 0.3333 0.5000
```

Calculated values
**Formation energy**: 691 meV/atom
**DFT total energy**: -2.530 eV per atom
**Crystal system**: hexagonal
**DOS at the Fermi energy**: 5.62 states/eV per cell